Entry from the Alexandria database: a relaxed structure of KMgTc2 (PBE).

```
KMgTc2
1.0
2.6644 0.0000 0.0000
0.0000 2.6644 0.0000
0.0000 0.0000 10.3683
K Mg Tc
1 1 2
direct
0.0000 0.0000 0.0000
0.0000 0.0000 0.5000
0.5000 0.5000 0.2858
0.5000 0.5000 0.7142
```

Summary:
**Total energy**: -5.04 eV/atom

Entry from the Alexandria database: a relaxed structure of KMgTc3 (PBE).

```
KMgTc3
1.0
4.5882 0.0000 0.0000
0.0000 4.5882 0.0000
0.0000 0.0000 4.5882
K Mg Tc
1 1 3
direct
0.0000 0.0000 0.0000
0.5000 0.5000 0.5000
0.0000 0.0000 0.5000
0.0000 0.5000 0.0000
0.5000 0.0000 0.0000
```

Summary:
**Total energy**: -3.93 eV/atom
**Energy above the lowest structure with this stoichiometry**: 312.7 kJ/mol of formula units

Entry from the Alexandria database: a relaxed structure of KMgTc2 (PBE).

```
KMgTc2
1.0
-1.9268 1.9268 5.0422
1.9268 -1.9268 5.0422
1.9268 1.9268 -5.0422
K Mg Tc
1 1 2
direct
0.0000 0.0000 0.0000
0.5000 0.5000 0.0000
0.2500 0.7500 0.5000
0.7500 0.2500 0.5000
```

Summary:
**Total energy**: -4.61 eV/atom

Entry from the Alexandria database: a relaxed structure of KMgTc2 (PBE).

```
KMgTc2
1.0
6.0230 -1.3704 0.0000
6.0230 1.3704 0.0000
-2.0349 0.0000 4.5385
K Mg Tc
1 1 2
direct
0.0000 0.0000 0.0000
0.5000 0.5000 0.5000
0.2244 0.2244 0.7244
0.7756 0.7756 0.2756
```

Summary:
**Total energy**: -4.86 eV/atom

Entry from the Alexandria database: a relaxed structure of KMgTc2 (PBE).

```
KMgTc2
1.0
2.7341 -5.1498 0.0000
2.7341 5.1498 0.0000
0.0000 0.0000 2.6292
K Mg Tc
1 1 2
direct
0.0000 0.0000 0.0000
0.5000 0.5000 0.0000
0.0000 0.5000 0.5000
0.5000 0.0000 0.5000
```

Summary:
**Total energy**: -4.78 eV/atom

Entry from the Alexandria database: a relaxed structure of KMgTc4 (PBE).

```
KMgTc4
1.0
0.0000 3.7859 3.7859
3.7859 0.0000 3.7859
3.7859 3.7859 0.0000
K Mg Tc
1 1 4
direct
0.0000 0.0000 0.0000
0.7500 0.7500 0.7500
0.3750 0.3750 0.3750
0.3750 0.3750 0.8750
0.3750 0.8750 0.3750
0.8750 0.3750 0.3750
```

Summary:
**Total energy**: -6.53 eV/atom

Entry from the Alexandria database: a relaxed structure of KMg3Tc (PBE).

```
KMg3Tc
1.0
5.2288 0.0000 0.0000
0.0000 5.2288 0.0000
0.0000 0.0000 5.2288
K Mg Tc
1 3 1
direct
0.0000 0.0000 0.0000
0.0000 0.5000 0.5000
0.5000 0.0000 0.5000
0.5000 0.5000 0.0000
0.5000 0.5000 0.5000
```

Summary:
**Total energy**: -2.72 eV/atom
**Energy above the lowest structure with this stoichiometry**: 0.0 kJ/mol of formula units

Entry from the Alexandria database: a relaxed structure of KMgTc2 (PBE).

```
KMgTc2
1.0
4.0673 -1.5054 0.0000
4.0673 1.5054 0.0000
-0.5680 0.0000 8.0033
K Mg Tc
1 1 2
direct
0.0000 0.0000 0.0000
0.7729 0.7729 0.3773
0.2341 0.2341 0.6785
0.5089 0.5089 0.5763
```

Summary:
**Total energy**: -5.25 eV/atom

Result set for ΔH_f (0 K): 0.813; 2.826; 1.241; 1.000; 1.076; 0.826; 0.532; 0.603 eV per atom, one per record in the order listed.